# 1
# LiAlAs3

A crystal of LiAlAs3 relaxed with PBEsol (meta-GGA SCAN, Alexandria).

## Properties
* DOS(E_F): 3.1 states/eV per cell
* DFT formation energy: 2.8 eV/f.u.

Cell: 4.5219 4.5219 4.5219 Å, 90.00 90.00 90.00°
Element x y z (fractional)
Li1 0.0000 0.0000 0.0000
Al1 0.5000 0.5000 0.5000
As1 0.0000 0.0000 0.5000
As2 0.0000 0.5000 0.0000
As3 0.5000 0.0000 0.0000

=====

# 2
# Li2AlAs

A crystal of Li2AlAs relaxed with PBEsol (meta-GGA SCAN, Alexandria).

## Properties
* DOS(E_F): 1.9 states/eV per cell
* DFT formation energy: -1.4 eV/f.u.

Cell: 5.4945 8.2781 2.7350 Å, 90.00 90.00 90.00°
Element x y z (fractional)
Li1 0.2500 0.2500 0.0000
Li2 0.2500 0.7500 0.0000
Li3 0.7500 0.2500 0.0000
Li4 0.7500 0.7500 0.0000
Al1 0.0000 0.0000 0.5000
Al2 0.5000 0.5000 0.5000
As1 0.0000 0.5000 0.5000
As2 0.5000 0.0000 0.5000

=====

# 3
# LiAl2TeAs

A crystal of LiAl2TeAs relaxed with PBEsol (meta-GGA SCAN, Alexandria).

## Properties
* DOS(E_F): 1.6 states/eV per cell
* ΔE_f (raw): -56 meV/atom

Cell: 4.9527 4.9527 4.7079 Å, 90.00 90.00 90.00°
Element x y z (fractional)
Li1 0.0000 0.0000 0.0000
Al1 0.0000 0.5000 0.5000
Al2 0.5000 0.0000 0.5000
Te1 0.5000 0.5000 0.0000
As1 0.0000 0.0000 0.5000

=====

# 4
# MgAlAs2

A crystal of MgAlAs2 relaxed with PBEsol (meta-GGA SCAN, Alexandria).

## Properties
* DOS(E_F): 1.6 states/eV per cell
* DFT formation energy: -0.2 eV/f.u.

Cell: 3.6380 4.1639 4.8118 Å, 90.00 90.00 90.00°
Element x y z (fractional)
Mg1 0.0000 0.0000 0.0000
Al1 0.0000 0.5000 0.5000
As1 0.5000 0.0000 0.5000
As2 0.5000 0.5000 0.0000

=====

# 5
# MgScAlAs2

A crystal of MgScAlAs2 relaxed with PBEsol (meta-GGA SCAN, Alexandria).

## Properties
* DOS(E_F): 3.1 states/eV per cell
* DFT formation energy: 1.7 eV/f.u.

Cell: 4.8496 4.8496 4.8648 Å, 90.00 90.00 90.00°
Element x y z (fractional)
Mg1 0.0000 0.0000 0.0000
Sc1 0.5000 0.5000 0.0000
Al1 0.0000 0.0000 0.5000
As1 0.0000 0.5000 0.5000
As2 0.5000 0.0000 0.5000

=====

# 6
# Mn2AlAs

A crystal of Mn2AlAs relaxed with PBEsol (meta-GGA SCAN, Alexandria).

## Properties
* DOS(E_F): 12.2 states/eV per cell
* DFT formation energy: 0.3 eV/f.u.

Cell: 5.8999 5.8999 5.8999 Å, 90.00 90.00 90.00°
Element x y z (fractional)
Mn1 0.0000 0.0000 0.0000
Mn2 0.0000 0.5000 0.5000
Mn3 0.2500 0.2500 0.2500
Mn4 0.2500 0.7500 0.7500
Mn5 0.5000 0.0000 0.5000
Mn6 0.5000 0.5000 0.0000
Mn7 0.7500 0.2500 0.7500
Mn8 0.7500 0.7500 0.2500
Al1 0.0000 0.0000 0.5000
Al2 0.0000 0.5000 0.0000
Al3 0.5000 0.0000 0.0000
Al4 0.5000 0.5000 0.5000
As1 0.2500 0.2500 0.7500
As2 0.2500 0.7500 0.2500
As3 0.7500 0.2500 0.2500
As4 0.7500 0.7500 0.7500

=====

# 7
# Mn2AlAs

A crystal of Mn2AlAs relaxed with PBEsol (meta-GGA SCAN, Alexandria).

## Properties
* DOS(E_F): 2.3 states/eV per cell
* DFT formation energy: 0.1 eV/f.u.

Cell: 2.7434 2.7434 7.1668 Å, 90.00 90.00 90.00°
Element x y z (fractional)
Mn1 0.0000 0.0000 0.0000
Mn2 0.5000 0.5000 0.1922
Al1 0.0000 0.0000 0.4081
As1 0.5000 0.5000 0.7819

=====

# 8
# Mn2AlAs

A crystal of Mn2AlAs relaxed with PBEsol (meta-GGA SCAN, Alexandria).

## Properties
* DOS(E_F): 6.4 states/eV per cell
* DFT formation energy: -0.6 eV/f.u.

Cell: 8.6827 2.8496 4.2094 Å, 90.00 105.44 90.00°
Element x y z (fractional)
Mn1 0.0000 0.0000 0.0000
Mn2 0.2315 0.0000 0.6293
Mn3 0.5000 0.5000 0.0000
Mn4 0.7315 0.5000 0.6293
Al1 0.4890 0.0000 0.4941
Al2 0.9890 0.5000 0.4941
As1 0.2325 0.5000 0.1241
As2 0.7325 0.0000 0.1241

=====

# 9
# Mn2AlAs

A crystal of Mn2AlAs relaxed with PBEsol (meta-GGA SCAN, Alexandria).

## Properties
* DOS(E_F): 4.7 states/eV per cell
* DFT formation energy: -1.1 eV/f.u.

Cell: 3.5932 3.5932 8.0515 Å, 90.00 90.00 90.00°
Element x y z (fractional)
Mn1 0.0000 0.0000 0.0000
Mn2 0.0000 0.5000 0.2500
Mn3 0.5000 0.0000 0.7500
Mn4 0.5000 0.5000 0.5000
Al1 0.0000 0.5000 0.7500
Al2 0.5000 0.0000 0.2500
As1 0.0000 0.0000 0.5000
As2 0.5000 0.5000 0.0000

=====

# 10
# MnAl2As

A crystal of MnAl2As relaxed with PBEsol (meta-GGA SCAN, Alexandria).

## Properties
* DOS(E_F): 1.9 states/eV per cell
* DFT formation energy: -0.3 eV/f.u.

Cell: 4.1284 4.1284 3.4158 Å, 90.00 90.00 90.00°
Element x y z (fractional)
Mn1 0.0000 0.0000 0.0000
Al1 0.0000 0.5000 0.5000
Al2 0.5000 0.0000 0.5000
As1 0.5000 0.5000 0.0000

=====

# 11
# MnAl2As

A crystal of MnAl2As relaxed with PBEsol (meta-GGA SCAN, Alexandria).

## Properties
* DOS(E_F): 4.0 states/eV per cell
* DFT formation energy: -0.3 eV/f.u.

Cell: 3.8999 3.1763 9.3380 Å, 90.00 90.00 90.00°
Element x y z (fractional)
Mn1 0.0000 0.0000 0.0000
Mn2 0.0000 0.5000 0.5000
Al1 0.0000 0.0000 0.7307
Al2 0.0000 0.5000 0.2307
Al3 0.5000 0.0000 0.4075
Al4 0.5000 0.5000 0.9075
As1 0.5000 0.0000 0.1360
As2 0.5000 0.5000 0.6360

=====

# 12
# Mn2AlAsSe

A crystal of Mn2AlAsSe relaxed with PBEsol (meta-GGA SCAN, Alexandria).

## Properties
* DOS(E_F): 2.5 states/eV per cell
* ΔE_f (raw): 474 meV/atom

Cell: 4.5079 4.5079 5.1836 Å, 90.00 90.00 90.00°
Element x y z (fractional)
Mn1 0.0000 0.5000 0.0000
Mn2 0.5000 0.0000 0.0000
Al1 0.0000 0.0000 0.5000
As1 0.5000 0.5000 0.5000
Se1 0.5000 0.5000 0.0000

=====

# 13
# Mn2AlTcAs

A crystal of Mn2AlTcAs relaxed with PBEsol (meta-GGA SCAN, Alexandria).

## Properties
* DOS(E_F): 3.3 states/eV per cell
* DFT formation energy: 5.9 eV/f.u.

Cell: 4.4145 4.4145 4.5919 Å, 90.00 90.00 90.00°
Element x y z (fractional)
Mn1 0.0000 0.5000 0.0000
Mn2 0.5000 0.0000 0.0000
Al1 0.0000 0.0000 0.0000
Tc1 0.5000 0.5000 0.5000
As1 0.0000 0.0000 0.5000

=====

# 14
# Al2Mo2As

A crystal of Al2Mo2As relaxed with PBEsol (meta-GGA SCAN, Alexandria).

## Properties
* DOS(E_F): 4.8 states/eV per cell
* DFT formation energy: -0.6 eV/f.u.

Cell: 6.5640 6.5640 3.6967 Å, 90.00 90.00 90.00°
Element x y z (fractional)
Al1 0.1408 0.3592 0.0000
Al2 0.3592 0.8592 0.0000
Al3 0.6408 0.1408 0.0000
Al4 0.8592 0.6408 0.0000
Mo1 0.1612 0.6612 0.5000
Mo2 0.3388 0.1612 0.5000
Mo3 0.6612 0.8388 0.5000
Mo4 0.8388 0.3388 0.5000
As1 0.0000 0.0000 0.5000
As2 0.5000 0.5000 0.5000

=====

# 15
# AlMoAs

A crystal of AlMoAs relaxed with PBEsol (meta-GGA SCAN, Alexandria).

## Properties
* DOS(E_F): 0.5 states/eV per cell
* DFT formation energy: -1.2 eV/f.u.

Cell: 3.2696 3.2696 8.2815 Å, 90.00 90.00 90.00°
Element x y z (fractional)
Al1 0.0000 0.0000 0.0000
Al2 0.5000 0.5000 0.5000
Mo1 0.0000 0.0000 0.3260
Mo2 0.5000 0.5000 0.8260
As1 0.0000 0.0000 0.6763
As2 0.5000 0.5000 0.1763

=====

# 16
# Al2MoAsRh

A crystal of Al2MoAsRh relaxed with PBEsol (meta-GGA SCAN, Alexandria).

## Properties
* DOS(E_F): 2.2 states/eV per cell
* DFT formation energy: 4.8 eV/f.u.

Cell: 4.7446 4.7446 4.5965 Å, 90.00 90.00 90.00°
Element x y z (fractional)
Al1 0.0000 0.5000 0.0000
Al2 0.5000 0.0000 0.0000
Mo1 0.0000 0.0000 0.0000
As1 0.5000 0.5000 0.5000
Rh1 0.0000 0.0000 0.5000

=====

# 17
# AlAsNO2

A crystal of AlAsNO2 relaxed with PBEsol (meta-GGA SCAN, Alexandria).

## Properties
* DOS(E_F): 1.5 states/eV per cell
* ΔE_f (raw): -693 meV/atom

Cell: 3.6082 3.6082 3.8579 Å, 90.00 90.00 90.00°
Element x y z (fractional)
Al1 0.0000 0.0000 0.0000
As1 0.5000 0.5000 0.5000
N1 0.0000 0.0000 0.5000
O1 0.0000 0.5000 0.0000
O2 0.5000 0.0000 0.0000

=====

# 18
# RbAl2AsN

A crystal of RbAl2AsN relaxed with PBEsol (meta-GGA SCAN, Alexandria).

## Properties
* DOS(E_F): 2.4 states/eV per cell
* ΔE_f (raw): 2450 meV/atom

Cell: 6.2631 6.2631 5.5461 Å, 90.00 90.00 90.00°
Element x y z (fractional)
Rb1 0.0000 0.0000 0.0000
Al1 0.0000 0.5000 0.0000
Al2 0.5000 0.0000 0.0000
As1 0.0000 0.0000 0.5000
N1 0.5000 0.5000 0.5000

=====

# 19
# AlTe2AsN

A crystal of AlTe2AsN relaxed with PBEsol (meta-GGA SCAN, Alexandria).

## Properties
* DOS(E_F): 3.2 states/eV per cell
* ΔE_f (raw): 372 meV/atom

Cell: 5.5317 5.5317 3.4365 Å, 90.00 90.00 90.00°
Element x y z (fractional)
Al1 0.0000 0.0000 0.0000
Te1 0.0000 0.5000 0.0000
Te2 0.5000 0.0000 0.0000
As1 0.5000 0.5000 0.5000
N1 0.0000 0.0000 0.5000

=====

# 20
# Na3AlAs2

A crystal of Na3AlAs2 relaxed with PBEsol (meta-GGA SCAN, Alexandria).

## Properties
* DOS(E_F): 0.0 states/eV per cell
* DFT formation energy: -3.8 eV/f.u.

Cell: 8.2269 8.2269 8.2269 Å, 130.77 68.14 136.00°
Element x y z (fractional)
Na1 0.1880 0.6943 0.8823
Na2 0.2500 0.2500 0.0000
Na3 0.3120 0.1943 0.5063
Na4 0.6880 0.8057 0.4937
Na5 0.7500 0.7500 0.0000
Na6 0.8120 0.3057 0.1177
Al1 0.2500 0.7500 0.5000
Al2 0.7500 0.2500 0.5000
As1 0.1045 0.2978 0.4022
As2 0.3955 0.7978 0.1933
As3 0.6045 0.2022 0.8067
As4 0.8955 0.7022 0.5978

=====

# 21
# NaAl3As

A crystal of NaAl3As relaxed with PBEsol (meta-GGA SCAN, Alexandria).

## Properties
* DOS(E_F): 2.8 states/eV per cell
* DFT formation energy: 6.5 eV/f.u.

Cell: 4.9949 4.9949 4.9949 Å, 90.00 90.00 90.00°
Element x y z (fractional)
Na1 0.0000 0.0000 0.0000
Al1 0.0000 0.0000 0.5000
Al2 0.0000 0.5000 0.0000
Al3 0.5000 0.0000 0.0000
As1 0.5000 0.5000 0.5000

=====

# 22
# NaAlAs2O7

A crystal of NaAlAs2O7 relaxed with PBEsol (meta-GGA SCAN, Alexandria).

## Properties
* DOS(E_F): 0.0 states/eV per cell
* ΔE_f (raw): -1968 meV/atom

Cell: 6.9227 8.1856 9.5959 Å, 90.00 107.38 90.00°
Element x y z (fractional)
Na1 0.1935 0.1394 0.0289
Na2 0.1935 0.3606 0.5289
Na3 0.8065 0.6394 0.4711
Na4 0.8065 0.8606 0.9711
Al1 0.2787 0.7258 0.9937
Al2 0.2787 0.7742 0.4937
Al3 0.7213 0.2258 0.5063
Al4 0.7213 0.2742 0.0063
As1 0.0561 0.5354 0.2022
As2 0.0561 0.9646 0.7022
As3 0.4879 0.0879 0.7084
As4 0.4879 0.4121 0.2084
As5 0.5121 0.5879 0.7916
As6 0.5121 0.9121 0.2916
As7 0.9439 0.0354 0.2978
As8 0.9439 0.4646 0.7978
O1 0.0690 0.6819 0.0807
O2 0.0690 0.8181 0.5807
O3 0.0970 0.6065 0.3752
O4 0.0970 0.8935 0.8752
O5 0.1701 0.5605 0.8511
O6 0.1701 0.9395 0.3511
O7 0.2322 0.1274 0.7144
O8 0.2322 0.3726 0.2144
O9 0.3715 0.5909 0.6145
O10 0.3715 0.9091 0.1145
O11 0.4669 0.5996 0.1353
O12 0.4669 0.9004 0.6353
O13 0.4807 0.7457 0.8982
O14 0.4807 0.7543 0.3982
O15 0.5193 0.2457 0.6018
O16 0.5193 0.2543 0.1018
O17 0.5331 0.0996 0.3647
O18 0.5331 0.4004 0.8647
O19 0.6285 0.0909 0.8855
O20 0.6285 0.4091 0.3855
O21 0.7678 0.6274 0.7856
O22 0.7678 0.8726 0.2856
O23 0.8299 0.0605 0.6489
O24 0.8299 0.4395 0.1489
O25 0.9030 0.1065 0.1248
O26 0.9030 0.3935 0.6248
O27 0.9310 0.1819 0.4193
O28 0.9310 0.3181 0.9193

=====

no.,total magnetic moment (Bohr magnetons per cell)
1,0.000
2,0.000
3,0.000
4,0.000
5,0.000
6,14.118
7,0.001
8,8.932
9,12.475
10,3.082
11,3.807
12,7.993
13,10.369
14,0.000
15,0.000
16,0.000
17,0.988
18,2.423
19,0.000
20,0.000
21,0.000
22,0.000